VASP calculation (meta-GGA SCAN) on InAs2W at its PBEsol-relaxed geometry.

Unit cell a=4.944 b=4.944 c=5.750 alpha=90.00 beta=90.00 gamma=90.00
Space group I4/mmm (No. 139)
Symmetry-distinct sites (fractional):
In 0.000 0.000 0.000
As 0.000 0.500 0.250
W 0.000 0.000 0.500

total magnetic moment = 1.84 Bohr magnetons per cell
density = 10.598 Mg/m³
E_form = 0.60 eV per atom



VASP calculation (meta-GGA SCAN) on In2AsW at its PBEsol-relaxed geometry.

Unit cell a=3.378 b=4.886 c=10.101 alpha=90.00 beta=90.00 gamma=90.00
Space group Cmm2 (No. 35)
Symmetry-distinct sites (fractional):
In 0.000 0.000 0.000
In 0.000 0.500 0.278
As 0.000 0.000 0.585
W 0.000 0.500 0.768

total magnetic moment = 0.00 Bohr magnetons per cell
density = 9.730 Mg/m³
E_form = 0.37 eV per atom



VASP calculation (meta-GGA SCAN) on In4AsW at its PBEsol-relaxed geometry.

Unit cell a=7.966 b=7.966 c=7.966 alpha=90.00 beta=90.00 gamma=90.00
Space group F-43m (No. 216)
Symmetry-distinct sites (fractional):
In 0.125 0.125 0.125
As 0.250 0.250 0.750
W 0.000 0.000 0.500

total magnetic moment = 0.00 Bohr magnetons per cell
density = 9.434 Mg/m³
E_form = 0.99 eV per atom



VASP calculation (meta-GGA SCAN) on In2AsW at its PBEsol-relaxed geometry.

Unit cell a=5.064 b=2.983 c=5.556 alpha=90.00 beta=112.98 gamma=90.00
Space group P2/m (No. 10)
Symmetry-distinct sites (fractional):
In 0.000 0.000 0.000
In 0.000 0.500 0.500
As 0.500 0.000 0.500
W 0.500 0.500 0.000

total magnetic moment = 0.00 Bohr magnetons per cell
density = 10.497 Mg/m³
E_form = 0.73 eV per atom



VASP calculation (meta-GGA SCAN) on InAs2W at its PBEsol-relaxed geometry.

Unit cell a=3.1291 b=3.1291 c=28.4600 alpha=90.00 beta=90.00 gamma=120.00
Space group R-3m (No. 166, hexagonal axes)
Symmetry-distinct sites (fractional):
In 0.0000 0.0000 0.0000
As 0.0000 0.0000 0.2309
W 0.0000 0.0000 0.5000

total magnetic moment = 0.00 Bohr magnetons per cell
density = 9.258 Mg/m³
E_form = 0.10 eV per atom



VASP calculation (meta-GGA SCAN) on In2AsW at its PBEsol-relaxed geometry.

Unit cell a=4.188 b=4.188 c=8.679 alpha=90.00 beta=90.00 gamma=90.00
Space group I-4m2 (No. 119)
Symmetry-distinct sites (fractional):
In 0.000 0.000 0.000
In 0.000 0.500 0.250
As 0.000 0.500 0.750
W 0.000 0.000 0.500

total magnetic moment = 2.75 Bohr magnetons per cell
density = 10.655 Mg/m³
E_form = 0.73 eV per atom



VASP calculation (meta-GGA SCAN) on ZnIn2As2 at its PBEsol-relaxed geometry.

Unit cell a=4.610 b=4.610 c=11.744 alpha=90.00 beta=90.00 gamma=90.00
Space group I4/mmm (No. 139)
Symmetry-distinct sites (fractional):
Zn 0.000 0.000 0.000
In 0.000 0.500 0.250
As 0.000 0.000 0.383

total magnetic moment = 0.00 Bohr magnetons per cell
density = 5.920 Mg/m³
E_form = 0.25 eV per atom



VASP calculation (meta-GGA SCAN) on ZnInAs at its PBEsol-relaxed geometry.

Unit cell a=3.9858 b=3.9858 c=4.5727 alpha=90.00 beta=90.00 gamma=120.00
Space group P3m1 (No. 156)
Symmetry-distinct sites (fractional):
Zn 0.0000 0.0000 0.0000
In 0.6667 0.3333 0.4020
As 0.3333 0.6667 0.7920

total magnetic moment = 0.00 Bohr magnetons per cell
density = 6.735 Mg/m³
E_form = 0.01 eV per atom



VASP calculation (meta-GGA SCAN) on ZrIn2As at its PBEsol-relaxed geometry.

Unit cell a=4.072 b=4.056 c=5.011 alpha=90.00 beta=90.07 gamma=90.00
Space group P2/m (No. 10)
Symmetry-distinct sites (fractional):
Zr 0.000 0.000 0.000
In 0.000 0.500 0.500
In 0.500 0.000 0.500
As 0.500 0.500 0.000

total magnetic moment = 0.00 Bohr magnetons per cell
density = 7.941 Mg/m³
E_form = -0.25 eV per atom



VASP calculation (meta-GGA SCAN) on ZrIn2As at its PBEsol-relaxed geometry.

Unit cell a=3.3785 b=3.3785 c=26.6548 alpha=90.00 beta=90.00 gamma=120.00
Space group R-3m (No. 166, hexagonal axes)
Symmetry-distinct sites (fractional):
Zr 0.0000 0.0000 0.0000
In 0.0000 0.0000 0.2438
As 0.0000 0.0000 0.5000

total magnetic moment = 0.00 Bohr magnetons per cell
density = 7.483 Mg/m³
E_form = 0.00 eV per atom



VASP calculation (meta-GGA SCAN) on Zr2InAs at its PBEsol-relaxed geometry.

Unit cell a=10.825 b=3.535 c=4.629 alpha=90.00 beta=113.50 gamma=90.00
Space group Cm (No. 8)
Symmetry-distinct sites (fractional):
Zr 0.000 0.000 0.000
Zr 0.236 0.000 0.650
In 0.263 0.500 0.178
As 0.019 0.500 0.536

total magnetic moment = 0.00 Bohr magnetons per cell
density = 7.609 Mg/m³
E_form = -0.52 eV per atom



VASP calculation (meta-GGA SCAN) on Zr2InAs at its PBEsol-relaxed geometry.

Unit cell a=6.080 b=7.614 c=3.445 alpha=90.00 beta=90.00 gamma=90.00
Space group Cmmm (No. 65)
Symmetry-distinct sites (fractional):
Zr 0.250 0.250 0.000
In 0.000 0.000 0.500
As 0.000 0.500 0.500

total magnetic moment = 0.00 Bohr magnetons per cell
density = 7.752 Mg/m³
E_form = -0.52 eV per atom